# 1
{
  "formula": "InAuCl",
  "functional": "GGA-PBEsol",
  "state": "relaxed",
  "cell": [[3.3826, 0.0000, 0.0000], [0.0000, 3.3826, 0.0000], [-1.6913, -1.6913, 5.5261]],
  "species": ["In", "Cl", "Au"],
  "fractional_positions": [[0.3477, 0.3477, 0.6955], [0.6720, 0.6720, 0.3441], [0.9802, 0.9802, 0.9605]],
  "e_form_raw_ev_per_atom": -0.17,
  "spacegroup": "No. 107",
  "crystal_system": "tetragonal",
  "energy_ev_per_atom": -3.146,
  "total_magnetization_mub_per_cell": 0.00,
  "de_polymorph_mev_per_atom": 0
}

# 2
{
  "formula": "InAu2Cl",
  "functional": "GGA-PBEsol",
  "state": "relaxed",
  "cell": [[4.8250, 0.0000, 0.0000], [2.4125, 4.1785, 0.0000], [2.4125, 1.3928, 3.9396]],
  "species": ["Au", "Au", "In", "Cl"],
  "fractional_positions": [[0.2500, 0.2500, 0.2500], [0.0000, 0.0000, 0.0000], [0.7500, 0.7500, 0.7500], [0.5000, 0.5000, 0.5000]],
  "e_form_raw_ev_per_atom": 0.13,
  "spacegroup": "No. 216",
  "crystal_system": "cubic",
  "energy_ev_per_atom": -3.081,
  "total_magnetization_mub_per_cell": 0.00,
  "de_polymorph_mev_per_atom": 212
}

# 3
{
  "formula": "InAuCl",
  "functional": "GGA-PBEsol",
  "state": "relaxed",
  "cell": [[4.7558, 0.0000, 0.0000], [2.3779, 4.1186, 0.0000], [2.3779, 1.3729, 3.8831]],
  "species": ["Au", "Cl", "In"],
  "fractional_positions": [[0.5000, 0.5000, 0.5000], [0.7500, 0.7500, 0.7500], [0.0000, 0.0000, 0.0000]],
  "e_form_raw_ev_per_atom": 0.29,
  "spacegroup": "No. 216",
  "crystal_system": "cubic",
  "energy_ev_per_atom": -2.677,
  "total_magnetization_mub_per_cell": 0.00,
  "de_polymorph_mev_per_atom": 469
}

Please write out number 1 again, unchanged.
{
  "formula": "InAuCl",
  "functional": "GGA-PBEsol",
  "state": "relaxed",
  "cell": [[3.3826, 0.0000, 0.0000], [0.0000, 3.3826, 0.0000], [-1.6913, -1.6913, 5.5261]],
  "species": ["In", "Cl", "Au"],
  "fractional_positions": [[0.3477, 0.3477, 0.6955], [0.6720, 0.6720, 0.3441], [0.9802, 0.9802, 0.9605]],
  "e_form_raw_ev_per_atom": -0.17,
  "spacegroup": "No. 107",
  "crystal_system": "tetragonal",
  "energy_ev_per_atom": -3.146,
  "total_magnetization_mub_per_cell": 0.00,
  "de_polymorph_mev_per_atom": 0
}

Copy entry 2 word for word.
{
  "formula": "InAu2Cl",
  "functional": "GGA-PBEsol",
  "state": "relaxed",
  "cell": [[4.8250, 0.0000, 0.0000], [2.4125, 4.1785, 0.0000], [2.4125, 1.3928, 3.9396]],
  "species": ["Au", "Au", "In", "Cl"],
  "fractional_positions": [[0.2500, 0.2500, 0.2500], [0.0000, 0.0000, 0.0000], [0.7500, 0.7500, 0.7500], [0.5000, 0.5000, 0.5000]],
  "e_form_raw_ev_per_atom": 0.13,
  "spacegroup": "No. 216",
  "crystal_system": "cubic",
  "energy_ev_per_atom": -3.081,
  "total_magnetization_mub_per_cell": 0.00,
  "de_polymorph_mev_per_atom": 212
}